DFT (PBE-GGA) results for a relaxed structure of MgZrNF2.

Unit cell a=4.292 b=4.292 c=4.243 alpha=90.00 beta=90.00 gamma=90.00
Each line ends with the local moment (μB).
Positions (direct):
F  0.000  0.500  0.000  0.02
F  0.500  0.000  0.000  0.02
Zr  0.000  0.000  0.000  0.03
Mg  0.500  0.500  0.500  0.06
N  0.000  0.000  0.500  0.03

Summary:
For the raw formation energy, the calculation gives -1.730 eV/atom. For the energy above the most stable polymorph in this dataset, the calculation gives 92 meV/atom.

DFT (PBE-GGA) results for a relaxed structure of LaAlSe2Br.

Unit cell a=5.746 b=5.746 c=5.893 alpha=90.00 beta=90.00 gamma=90.00
Positions (direct):
Br  0.000  0.000  0.500
Se  0.500  0.000  0.000
Se  0.000  0.500  0.000
Al  0.500  0.500  0.500
La  0.000  0.000  0.000

Summary:
For the raw formation energy, the calculation gives -0.640 eV/atom. For the energy above the most stable polymorph in this dataset, the calculation gives 362 meV/atom.

DFT (PBE-GGA) results for a relaxed structure of Sr2Li3Al12Pt.

Unit cell a=10.567 b=10.567 c=10.567 alpha=36.43 beta=36.43 gamma=36.43
Positions (direct):
Sr  0.645  0.645  0.645
Li  0.000  0.500  0.000
Al  0.586  0.185  0.586
Al  0.815  0.414  0.414
Al  0.079  0.079  0.640
Al  0.921  0.921  0.360
Pt  0.000  0.000  0.000
Al  0.414  0.815  0.414
Al  0.921  0.360  0.921
Sr  0.355  0.355  0.355
Li  0.000  0.000  0.500
Al  0.640  0.079  0.079
Al  0.414  0.414  0.815
Al  0.079  0.640  0.079
Al  0.360  0.921  0.921
Al  0.185  0.586  0.586
Li  0.500  0.000  0.000
Al  0.586  0.586  0.185

Summary:
The formation energy from the elements is -0.0843 eV/atom.

DFT (PBE-GGA) results for a relaxed structure of IrPbCl2.

Unit cell a=4.948 b=4.948 c=4.948 alpha=60.00 beta=60.00 gamma=60.00
Each line ends with the local moment (μB).
Positions (direct):
Cl  0.750  0.750  0.750  0.07
Pb  0.500  0.500  0.500  -0.02
Ir  0.000  0.000  0.000  1.22
Cl  0.250  0.250  0.250  0.07

Summary:
For the raw formation energy, the calculation gives 0.561 eV/atom. For the energy above the most stable polymorph in this dataset, the calculation gives 661 meV/atom.

DFT (PBE-GGA) results for a relaxed structure of Th2Cd5Au.

Unit cell a=4.343 b=6.853 c=13.703 alpha=90.00 beta=90.00 gamma=90.00
Positions (direct):
Au  0.000  0.500  0.000
Cd  0.500  0.718  0.634
Th  0.500  0.787  0.386
Th  0.500  0.713  0.886
Th  0.500  0.213  0.614
Cd  0.500  0.218  0.866
Cd  0.000  0.500  0.500
Cd  0.000  0.033  0.246
Cd  0.000  0.533  0.254
Cd  0.500  0.782  0.134
Cd  0.500  0.282  0.366
Cd  0.000  0.000  0.000
Th  0.500  0.287  0.114
Cd  0.000  0.467  0.746
Au  0.000  0.000  0.500
Cd  0.000  0.967  0.754

Summary:
The formation energy from the elements is -0.1569 eV/atom. For the energy above the most stable polymorph in this dataset, the calculation gives 8 meV/atom.

DFT (PBE-GGA) results for a relaxed structure of Dy2Tl3CdTe6.

Unit cell a=7.727 b=7.727 c=8.324 alpha=98.88 beta=98.88 gamma=120.16
Positions (direct):
Tl  0.829  0.171  0.500
Te  0.929  0.595  0.784
Te  0.405  0.071  0.216
Te  0.071  0.405  0.216
Te  0.260  0.260  0.782
Dy  0.334  0.666  0.000
Cd  0.000  0.000  0.000
Te  0.595  0.929  0.784
Dy  0.666  0.334  0.000
Tl  0.171  0.829  0.500
Te  0.740  0.740  0.218
Tl  0.500  0.500  0.500

Summary:
For the raw formation energy, the calculation gives -0.755 eV/atom.

DFT (PBE-GGA) results for a relaxed structure of V3B4.

Unit cell a=6.934 b=6.934 c=6.934 alpha=155.19 beta=154.66 gamma=35.76
Positions (direct):
B  0.566  0.066  0.500
V  0.813  0.813  0.000
B  0.434  0.934  0.500
B  0.637  0.637  0.000
V  0.000  0.500  0.500
V  0.187  0.187  0.000
B  0.363  0.363  0.000

Summary:
The formation energy from the elements is -0.8180 eV/atom.

DFT (PBE-GGA) results for a relaxed structure of RbTi3As.

Unit cell a=4.975 b=4.975 c=4.975 alpha=90.00 beta=90.00 gamma=90.00
Positions (direct):
Rb  0.500  0.500  0.500
Ti  0.000  0.000  0.500
As  0.000  0.000  0.000
Ti  0.000  0.500  0.000
Ti  0.500  0.000  0.000

Summary:
The formation energy from the elements is 0.6612 eV/atom. For the energy above the most stable polymorph in this dataset, the calculation gives 0 meV/atom.

DFT (PBE-GGA) results for a relaxed structure of IrOsCl.

Unit cell a=6.597 b=6.597 c=6.597 alpha=154.91 beta=154.91 gamma=35.78
Positions (direct):
Cl  0.029  0.029  0.000
Ir  0.300  0.300  0.000
Os  0.672  0.672  0.000

Summary:
For the raw formation energy, the calculation gives 0.764 eV/atom. For the energy above the most stable polymorph in this dataset, the calculation gives 110 meV/atom.

DFT (PBE-GGA) results for a relaxed structure of AcPm2Sm.

Unit cell a=7.468 b=6.525 c=12.069 alpha=90.00 beta=90.00 gamma=90.00
Positions (direct):
Pm  0.127  0.745  0.810
Ac  0.120  0.081  0.063
Sm  0.374  0.918  0.563
Pm  0.373  0.245  0.315
Pm  0.627  0.755  0.310
Pm  0.627  0.755  0.815
Pm  0.373  0.245  0.810
Sm  0.626  0.082  0.063
Pm  0.127  0.745  0.315
Pm  0.873  0.255  0.815
Pm  0.873  0.255  0.310
Ac  0.380  0.581  0.063
Sm  0.126  0.418  0.563
Ac  0.880  0.919  0.563
Sm  0.874  0.582  0.063
Ac  0.620  0.419  0.563

Summary:
The formation energy from the elements is 0.0327 eV/atom. For the energy above the most stable polymorph in this dataset, the calculation gives 2 meV/atom.

no.,total DFT energy (no corrections) (eV per cell)
1,-30.9
2,-20.5
3,-61.6
4,-14.0
5,-47.9
6,-45.1
7,-59.8
8,-26.0
9,-19.6
10,-72.8